Computed, not measured: a geometry-optimized AlCr4Re structure at the PBE level of DFT.

Formation energy: -0.04 eV per atom
E: -54.9 eV/cell
Offset from the most stable computed form: 5.5 kJ/mol of atoms

a = 4.7555 Å, b = 4.7555 Å, c = 4.7555 Å
α = 60.00°, β = 60.00°, γ = 60.00°
Last column: nearest neighbours and their distance in Å.
Fractional positions:
Al: 0.0000 0.0000 0.0000  12 Cr 2.79, 4 Re 2.91
Cr: 0.3745 0.3745 0.3745  6 Cr 2.37-2.39
Cr: 0.3745 0.3745 0.8765  6 Cr 2.37-2.39
Cr: 0.3745 0.8765 0.3745  6 Cr 2.37-2.39
Cr: 0.8765 0.3745 0.3745  6 Cr 2.37-2.39
Re: 0.7500 0.7500 0.7500  12 Cr 2.79, 4 Al 2.91